[1]
Entry from Alexandria: an optimized crystal structure of ReIN2Cl (PBE).

Values from the calculation:
final energy = -5.8276 eV per atom
symmetry = P4/mmm, No. 123
energy above the most stable polymorph in this dataset = 0.0 kJ/mol of atoms
mass density = 6.98 Mg/m³
N(E_F) = 2.96 states/eV/cell

Cell lengths 3.920, 3.920, 5.828 Å; angles 90.00, 90.00, 90.00 degrees
Element x y z (fractional)
Re: 0.000 0.000 0.000
I: 0.000 0.000 0.500
N: 0.000 0.500 0.000
N: 0.500 0.000 0.000
Cl: 0.500 0.500 0.500

[2]
Entry from Alexandria: an optimized crystal structure of ReIN2Cl (PBE).

Values from the calculation:
final energy = -3.6105 eV per atom
symmetry = P4/mmm, No. 123
energy above the most stable polymorph in this dataset = 213.9 kJ/mol of atoms
mass density = 5.80 Mg/m³
N(E_F) = 2.45 states/eV/cell

Cell lengths 3.976, 3.976, 6.825 Å; angles 90.00, 90.00, 90.00 degrees
Element x y z (fractional)
Re: 0.000 0.000 0.000
I: 0.500 0.500 0.000
N: 0.000 0.500 0.500
N: 0.500 0.000 0.500
Cl: 0.500 0.500 0.500

[3]
Entry from Alexandria: an optimized crystal structure of ReI2NCl (PBE).

Values from the calculation:
final energy = -2.7473 eV per atom
symmetry = P4/mmm, No. 123
energy above the most stable polymorph in this dataset = 192.2 kJ/mol of atoms
mass density = 4.58 Mg/m³
N(E_F) = 0.31 states/eV/cell

Cell lengths 5.745, 5.745, 5.374 Å; angles 90.00, 90.00, 90.00 degrees
Element x y z (fractional)
Re: 0.000 0.000 0.000
I: 0.000 0.500 0.500
I: 0.500 0.000 0.500
N: 0.500 0.500 0.000
Cl: 0.500 0.500 0.500

[4]
Entry from Alexandria: an optimized crystal structure of ReI2NCl (PBE).

Values from the calculation:
final energy = -4.7393 eV per atom
symmetry = P4/mmm, No. 123
energy above the most stable polymorph in this dataset = 0.0 kJ/mol of atoms
mass density = 6.93 Mg/m³
N(E_F) = 3.04 states/eV/cell

Cell lengths 5.577, 5.577, 3.772 Å; angles 90.00, 90.00, 90.00 degrees
Element x y z (fractional)
Re: 0.000 0.000 0.000
I: 0.000 0.500 0.000
I: 0.500 0.000 0.000
N: 0.000 0.000 0.500
Cl: 0.500 0.500 0.500

[5]
Entry from Alexandria: an optimized crystal structure of RhIN2Cl (PBE).

Values from the calculation:
final energy = -4.3348 eV per atom
symmetry = P4/mmm, No. 123
energy above the most stable polymorph in this dataset = 0.0 kJ/mol of atoms
mass density = 3.85 Mg/m³
N(E_F) = 2.96 states/eV/cell

Cell lengths 3.846, 3.846, 8.542 Å; angles 90.00, 90.00, 90.00 degrees
Element x y z (fractional)
Rh: 0.000 0.000 0.000
I: 0.000 0.000 0.500
N: 0.000 0.500 0.000
N: 0.500 0.000 0.000
Cl: 0.500 0.500 0.500

[6]
Entry from Alexandria: an optimized crystal structure of RhIN2Cl (PBE).

Values from the calculation:
final energy = -3.2176 eV per atom
symmetry = P4/mmm, No. 123
energy above the most stable polymorph in this dataset = 107.8 kJ/mol of atoms
mass density = 4.55 Mg/m³
N(E_F) = 6.19 states/eV/cell

Cell lengths 3.747, 3.747, 7.620 Å; angles 90.00, 90.00, 90.00 degrees
Element x y z (fractional)
Rh: 0.000 0.000 0.000
I: 0.500 0.500 0.000
N: 0.000 0.500 0.500
N: 0.500 0.000 0.500
Cl: 0.500 0.500 0.500

[7]
Entry from Alexandria: an optimized crystal structure of RuIN2Cl (PBE).

Values from the calculation:
final energy = -4.8977 eV per atom
symmetry = P4/mmm, No. 123
energy above the most stable polymorph in this dataset = 0.0 kJ/mol of atoms
mass density = 5.50 Mg/m³
N(E_F) = 3.54 states/eV/cell

Cell lengths 3.893, 3.893, 5.804 Å; angles 90.00, 90.00, 90.00 degrees
Element x y z (fractional)
Ru: 0.000 0.000 0.000
I: 0.000 0.000 0.500
N: 0.000 0.500 0.000
N: 0.500 0.000 0.000
Cl: 0.500 0.500 0.500

[8]
Entry from Alexandria: an optimized crystal structure of RuI2NCl (PBE).

Values from the calculation:
final energy = -4.0735 eV per atom
symmetry = P4/mmm, No. 123
energy above the most stable polymorph in this dataset = 0.0 kJ/mol of atoms
mass density = 5.78 Mg/m³
N(E_F) = 3.88 states/eV/cell

Cell lengths 5.608, 5.608, 3.692 Å; angles 90.00, 90.00, 90.00 degrees
Element x y z (fractional)
Ru: 0.000 0.000 0.000
I: 0.000 0.500 0.000
I: 0.500 0.000 0.000
N: 0.000 0.000 0.500
Cl: 0.500 0.500 0.500

[9]
Entry from Alexandria: an optimized crystal structure of RuI2NCl (PBE).

Values from the calculation:
final energy = -2.7212 eV per atom
symmetry = P4/mmm, No. 123
energy above the most stable polymorph in this dataset = 130.5 kJ/mol of atoms
mass density = 4.83 Mg/m³
N(E_F) = 7.58 states/eV/cell

Cell lengths 6.481, 6.481, 3.313 Å; angles 90.00, 90.00, 90.00 degrees
Element x y z (fractional)
Ru: 0.000 0.000 0.000
I: 0.000 0.500 0.500
I: 0.500 0.000 0.500
N: 0.500 0.500 0.000
Cl: 0.500 0.500 0.500

[10]
Entry from Alexandria: an optimized crystal structure of RuIN2Cl (PBE).

Values from the calculation:
final energy = -3.3522 eV per atom
symmetry = P4/mmm, No. 123
energy above the most stable polymorph in this dataset = 149.1 kJ/mol of atoms
mass density = 4.44 Mg/m³
N(E_F) = 6.86 states/eV/cell

Cell lengths 3.917, 3.917, 7.110 Å; angles 90.00, 90.00, 90.00 degrees
Element x y z (fractional)
Ru: 0.000 0.000 0.000
I: 0.500 0.500 0.000
N: 0.000 0.500 0.500
N: 0.500 0.000 0.500
Cl: 0.500 0.500 0.500

[11]
Entry from Alexandria: an optimized crystal structure of Sb2INCl (PBE).

Values from the calculation:
final energy = -3.2934 eV per atom
symmetry = P4/mmm, No. 123
energy above the most stable polymorph in this dataset = 0.0 kJ/mol of atoms
mass density = 5.92 Mg/m³
N(E_F) = 3.37 states/eV/cell

Cell lengths 4.906, 4.906, 4.896 Å; angles 90.00, 90.00, 90.00 degrees
Element x y z (fractional)
Sb: 0.000 0.500 0.000
Sb: 0.500 0.000 0.000
I: 0.000 0.000 0.500
N: 0.000 0.000 0.000
Cl: 0.500 0.500 0.500

[12]
Entry from Alexandria: an optimized crystal structure of SbIN2Cl (PBE).

Values from the calculation:
final energy = -3.5873 eV per atom
symmetry = P4/mmm, No. 123
energy above the most stable polymorph in this dataset = 0.0 kJ/mol of atoms
mass density = 4.21 Mg/m³
N(E_F) = 3.15 states/eV/cell

Cell lengths 4.082, 4.082, 7.381 Å; angles 90.00, 90.00, 90.00 degrees
Element x y z (fractional)
Sb: 0.000 0.000 0.000
I: 0.000 0.000 0.500
N: 0.000 0.500 0.000
N: 0.500 0.000 0.000
Cl: 0.500 0.500 0.500